AgCO2 (GGA-PBE, relaxed); total DFT energy (no corrections) = -6.154 eV/atom; ΔE_f (raw) = -0.66 eV/atom; D(E_F) = 0.3 states/eV/f.u.
1.0
1.451 0.838 8.410
-1.451 0.838 8.410
0.000 -1.676 8.410
Ag C O
1 1 2
Direct
0.000 0.000 0.000 Ag
0.500 0.500 0.500 C
0.453 0.453 0.453 O
0.547 0.547 0.547 O